(P)
Below is Th2TcTe after structural relaxation, with properties calculated at the GGA-PBE level.

Structure (POSCAR):
```
Th2TcTe
1.0
3.595 0.000 0.000
0.000 3.595 0.000
0.000 0.000 8.034
Te Tc Th
1 1 2
direct
0.500 0.500 0.500
0.500 0.500 0.000
0.000 0.000 0.780
0.000 0.000 0.220
```

Computed properties:
**Magnetization**: 0.000 μB/cell



(Q)
Below is Th2TcTe after structural relaxation, with properties calculated at the GGA-PBE level.

Structure (POSCAR):
```
Th2TcTe
1.0
-0.090 3.441 -2.415
-2.176 -0.013 -3.598
-6.924 3.593 1.717
Te Tc Th
1 1 2
direct
0.500 0.500 0.500
0.000 0.000 0.000
0.267 0.267 0.200
0.733 0.733 0.800
```

Computed properties:
**Magnetization**: 0.000 μB/cell



(R)
Below is Th2TcTe after structural relaxation, with properties calculated at the GGA-PBE level.

Structure (POSCAR):
```
Th2TcTe
1.0
-3.122 4.370 3.037
-2.842 -4.332 3.312
8.890 0.556 8.340
Th Tc Te
8 4 4
direct
0.754 0.000 0.904
0.246 0.000 0.096
0.754 0.500 0.596
0.246 0.500 0.404
0.757 0.500 0.153
0.243 0.500 0.847
0.757 0.000 0.347
0.243 0.000 0.653
0.243 0.500 0.625
0.757 0.500 0.375
0.243 0.000 0.875
0.757 0.000 0.125
0.258 0.000 0.374
0.742 0.000 0.626
0.258 0.500 0.126
0.742 0.500 0.874
```

Computed properties:
**Magnetization**: 0.000 μB/cell



Calculated relative energies: (P) 0.070; (Q) 0.000; (R) 0.106, given in eV/atom



(P)
Below is TiTcTe2 after structural relaxation, with properties calculated at the GGA-PBE level.

Structure (POSCAR):
```
TiTcTe2
1.0
0.000 3.369 3.369
3.369 0.000 3.369
3.369 3.369 0.000
Te Tc Ti
2 1 1
direct
0.250 0.250 0.250
0.750 0.750 0.750
0.500 0.500 0.500
0.000 0.000 0.000
```

Computed properties:
**Magnetization**: 1.387 μB/cell



(Q)
Below is TiTcTe2 after structural relaxation, with properties calculated at the GGA-PBE level.

Structure (POSCAR):
```
TiTcTe2
1.0
3.054 -4.169 7.973
5.744 -4.506 6.081
5.236 -1.696 7.745
Te Tc Ti
2 1 1
direct
0.903 0.903 0.903
0.097 0.097 0.097
0.500 0.500 0.500
0.000 0.000 0.000
```

Computed properties:
**Magnetization**: 0.749 μB/cell



(R)
Below is TiTcTe2 after structural relaxation, with properties calculated at the GGA-PBE level.

Structure (POSCAR):
```
TiTcTe2
1.0
-0.584 2.838 4.036
-3.012 -3.425 1.973
4.464 -3.841 6.405
Te Tc Ti
4 2 2
direct
0.640 0.125 0.250
0.110 0.625 0.250
0.375 0.360 0.750
0.875 0.890 0.750
0.000 0.000 0.000
0.750 0.250 0.500
0.500 0.500 0.000
0.250 0.750 0.500
```

Computed properties:
**Magnetization**: 0.000 μB/cell



Calculated relative energies: (P) 0.000; (Q) 0.263; (R) 0.236, given in eV/atom



(P)
Below is TiTc3Te after structural relaxation, with properties calculated at the GGA-PBE level.

Structure (POSCAR):
```
TiTc3Te
1.0
4.597 0.000 0.000
0.000 4.597 0.000
0.000 0.000 4.597
Te Tc Ti
1 3 1
direct
0.500 0.500 0.500
0.000 0.500 0.000
0.000 0.000 0.500
0.500 0.000 0.000
0.000 0.000 0.000
```

Computed properties:
**Magnetization**: 0.830 μB/cell



(Q)
Below is TiTc3Te after structural relaxation, with properties calculated at the GGA-PBE level.

Structure (POSCAR):
```
TiTc3Te
1.0
-1.303 -2.792 -3.615
3.789 1.438 -2.477
2.551 -3.563 1.832
Te Tc Ti
1 3 1
direct
0.000 0.000 0.000
0.000 0.500 0.000
0.000 0.000 0.500
0.500 0.000 0.000
0.500 0.500 0.500
```

Computed properties:
**Magnetization**: 0.000 μB/cell



Calculated relative energies: (P) 0.000; (Q) 0.265, given in eV/atom